Here is a geometry-optimized CsRe3Cl structure from the Alexandria database. Energies are from PBE.

Lattice parameters (Å, degrees): 4.647 4.647 4.647 90.00 90.00 90.00
Space group Pm-3m (No. 221)
Unique sites:
1 Cs 0.000 0.000 0.000 x1
2 Re 0.000 0.500 0.500 x3
3 Cl 0.500 0.500 0.500 x1

E_form (uncorrected): 2.60 eV per atom
calculated volume: 100 Å³/f.u.
density: 12.0 Mg/m³